Here is Nb3Os after structural relaxation from the Alexandria database. Energies are from PBEsol.

Structure (CIF):
```
data_Nb3Os
_chemical_formula_sum 'Nb6 Os2'
_symmetry_space_group_name_H-M 'P m -3 n'
_symmetry_Int_Tables_number 223
_symmetry_space_group_name_Hall '-P 4n 2 3'
_cell_length_a 5.1247
_cell_length_b 5.1247
_cell_length_c 5.1247
_cell_angle_alpha 90.00
_cell_angle_beta 90.00
_cell_angle_gamma 90.00
loop_
_atom_site_label
_atom_site_type_symbol
_atom_site_fract_x
_atom_site_fract_y
_atom_site_fract_z
Nb1 Nb 0.0000 0.2500 0.5000
Os1 Os 0.0000 0.0000 0.0000
```

Results
As for the volume: 16.82 Å³/atom. The calculated formation energy is -92.8 kJ/mol of formula units. Its raw total energy is -0.4193 Ha/atom.